VASP calculation (PBE) on a relaxed structure of UPaTe2.

The value obtained for the density of states at the Fermi level is 52.5 states/eV/cell. As for the distance to the lowest polymorph of the same formula: 5 kJ/mol of formula units. As for the uncorrected formation energy: -0.52 eV/atom.

The structure belongs to space group Fm-3m (No. 225); the cell edges are 7.5083, 7.5083 and 7.5083 Å and the angles 90.00°, 90.00° and 90.00°. The asymmetric unit holds U at (0.0000, 0.0000, 0.0000), Pa at (0.0000, 0.0000, 0.5000) and Te at (0.2500, 0.2500, 0.2500).

=====

VASP calculation (PBE) on a relaxed structure of UPaTe2.

The value obtained for the density of states at the Fermi level is 36.7 states/eV/cell. As for the distance to the lowest polymorph of the same formula: 195 kJ/mol of formula units. As for the uncorrected formation energy: -0.02 eV/atom.

The structure belongs to space group R-3m (No. 166, hexagonal axes); the cell edges are 3.6684, 3.6684 and 31.8495 Å and the angles 90.00°, 90.00° and 120.00°. The asymmetric unit holds U at (0.0000, 0.0000, 0.0000), Pa at (0.0000, 0.0000, 0.5000) and Te at (0.0000, 0.0000, 0.0965).

=====

VASP calculation (PBE) on a relaxed structure of UPaTe.

The value obtained for the density of states at the Fermi level is 11.7 states/eV/cell. As for the uncorrected formation energy: -0.17 eV/atom.

The structure belongs to space group Pmmn (No. 59, origin choice 2); the cell edges are 4.0333, 4.9027 and 7.5822 Å and the angles 90.00°, 90.00° and 90.00°. The asymmetric unit holds U at (0.2500, 0.2500, 0.2377), Pa at (0.2500, 0.7500, 0.5248) and Te at (0.2500, 0.2500, 0.8249).

=====

VASP calculation (PBE) on a relaxed structure of Pa2VTe.

The value obtained for the density of states at the Fermi level is 8.4 states/eV/cell. As for the distance to the lowest polymorph of the same formula: 0 kJ/mol of formula units. As for the uncorrected formation energy: -0.06 eV/atom.

The structure belongs to space group P4/mmm (No. 123); the cell edges are 4.3544, 4.3544 and 4.6009 Å and the angles 90.00°, 90.00° and 90.00°. The asymmetric unit holds Pa at (0.0000, 0.5000, 0.0000), V at (0.0000, 0.0000, 0.5000) and Te at (0.5000, 0.5000, 0.5000).

=====

VASP calculation (PBE) on a relaxed structure of PaVTe.

The value obtained for the density of states at the Fermi level is 15.1 states/eV/cell. As for the distance to the lowest polymorph of the same formula: 0 kJ/mol of formula units. As for the uncorrected formation energy: -0.13 eV/atom.

The structure belongs to space group Pbcm (No. 57); the cell edges are 7.7135, 6.1859 and 6.0157 Å and the angles 90.00°, 90.00° and 90.00°. The asymmetric unit holds Pa at (0.2490, 0.9996, 0.2500), V at (0.5000, 0.2497, 0.2500) and Te at (0.1825, 0.0004, 0.7500).

=====

VASP calculation (PBE) on a relaxed structure of PaVTe4.

The value obtained for the density of states at the Fermi level is 15.2 states/eV/cell. As for the distance to the lowest polymorph of the same formula: 0 kJ/mol of formula units. As for the uncorrected formation energy: -0.54 eV/atom.

The structure belongs to space group C2/m (No. 12); the cell edges are 15.5091, 4.1438 and 6.9029 Å and the angles 90.00°, 114.95° and 90.00°. The asymmetric unit holds Pa at (0.0000, 0.0000, 0.0000), V at (0.0000, 0.5000, 0.5000), Te at (0.1168, 0.0000, 0.7521) and Te at (0.1278, 0.5000, 0.3045).